# 1
## NaPr2Pb3S6 (GGA-PBE)

Data for a relaxed NaPr2Pb3S6 crystal.

Output
- Raw formation energy: -1.14 eV per atom

a b c (Å): 4.2555 8.3441 9.3968
angles (deg): 103.59 103.09 90.00
Fractional coordinates of all 12 atoms:
Pb1 0.8409 0.1494 0.6817
S1 0.6702 0.0914 0.3404
S2 0.0062 0.2502 0.0125
S3 0.3298 0.9086 0.6596
S4 0.9938 0.7498 0.9875
S5 0.3294 0.4282 0.6588
Pr1 0.1648 0.3277 0.3297
Pb2 0.1591 0.8506 0.3183
Na1 0.5000 0.0000 0.0000
S6 0.6706 0.5718 0.3412
Pr2 0.8352 0.6723 0.6703
Pb3 0.5000 0.5000 0.0000

---

# 2
## NaPrPb2Se4 (GGA-PBE)

Data for a relaxed NaPrPb2Se4 crystal.

Output
- Raw formation energy: -1.09 eV per atom

a b c (Å): 4.3446 7.4406 7.5628
angles (deg): 108.74 90.00 90.00
Fractional coordinates of all 8 atoms:
Se1 0.0000 0.7542 0.2425
Se2 0.5000 0.7570 0.7622
Pr1 0.0000 0.0000 0.0000
Pb1 0.5000 0.0000 0.5000
Se3 0.0000 0.2458 0.7575
Na1 0.5000 0.5000 0.0000
Se4 0.5000 0.2430 0.2378
Pb2 0.0000 0.5000 0.5000

---

# 3
## NaPrTe4Pb2 (GGA-PBE)

Data for a relaxed NaPrTe4Pb2 crystal.

Output
- Raw formation energy: -0.83 eV per atom

a b c (Å): 4.6020 7.9301 8.0231
angles (deg): 108.87 90.00 90.00
Fractional coordinates of all 8 atoms:
Te1 0.5000 0.2452 0.2434
Pr1 0.0000 0.0000 0.0000
Te2 0.0000 0.7539 0.2455
Pb1 0.0000 0.5000 0.5000
Na1 0.5000 0.5000 0.0000
Te3 0.5000 0.7548 0.7566
Te4 0.0000 0.2461 0.7545
Pb2 0.5000 0.0000 0.5000